The following is a GGA+U calculation of an optimized crystal structure of LiTl2Co3F12, from Alexandria via LeMat-Bulk.

Lattice parameters (Å, degrees): 7.099 7.099 7.099 60.07 60.07 60.07
Fractional coordinates of all 18 atoms:
Li 0.000 0.000 0.000
Tl 0.363 0.363 0.363
Tl 0.637 0.637 0.637
Co 0.000 0.000 0.500
Co 0.000 0.500 0.000
Co 0.500 0.000 0.000
F 0.079 0.079 0.654
F 0.079 0.654 0.079
F 0.079 0.685 0.685
F 0.315 0.315 0.921
F 0.315 0.921 0.315
F 0.346 0.921 0.921
F 0.654 0.079 0.079
F 0.685 0.079 0.685
F 0.685 0.685 0.079
F 0.921 0.315 0.315
F 0.921 0.346 0.921
F 0.921 0.921 0.346

Properties
raw total energy: -79.7 eV per cell
SG: R-3m (166)